# 1
Compound: InCoSeBr2
Source: the Alexandria database
Functional: GGA-PBE
Structure: optimized geometry

Properties
Uncorrected energy ... -3.424 eV per atom
E_form (uncorrected) ... -0.089 eV per atom
Space group ... P4/mmm, No. 123

Cell lengths 5.1112, 5.1112, 4.4176 Å; angles 90.00, 90.00, 90.00 degrees
Fractional coordinates of all 5 atoms:
1 In 0.0000 0.0000 0.0000
2 Co 0.5000 0.5000 0.5000
3 Se 0.5000 0.5000 0.0000
4 Br 0.0000 0.5000 0.5000
5 Br 0.5000 0.0000 0.5000

# 2
Compound: ReMo2Cl
Source: the Alexandria database
Functional: GGA-PBE
Structure: optimized geometry

Properties
Uncorrected energy ... -8.312 eV per atom
E_form (uncorrected) ... 0.678 eV per atom
Space group ... P4/mmm, No. 123

Cell lengths 4.6590, 4.6590, 2.8493 Å; angles 90.00, 90.00, 90.00 degrees
Fractional coordinates of all 4 atoms:
1 Re 0.0000 0.0000 0.0000
2 Mo 0.0000 0.5000 0.5000
3 Mo 0.5000 0.0000 0.5000
4 Cl 0.5000 0.5000 0.0000

# 3
Compound: CaZrInHg
Source: the Alexandria database
Functional: GGA-PBE
Structure: optimized geometry

Properties
Uncorrected energy ... -3.595 eV per atom
E_form ... -197 meV per atom
Space group ... F-43m, No. 216

Cell lengths 5.1816, 5.1816, 5.1816 Å; angles 60.00, 60.00, 60.00 degrees
Fractional coordinates of all 4 atoms:
1 Ca 0.0000 0.0000 0.0000
2 Zr 0.5000 0.5000 0.5000
3 In 0.2500 0.2500 0.2500
4 Hg 0.7500 0.7500 0.7500

# 4
Compound: CdN3F
Source: the Alexandria database
Functional: GGA-PBE
Structure: optimized geometry

Properties
Uncorrected energy ... -3.083 eV per atom
E_form (uncorrected) ... 2.469 eV per atom
Space group ... Pm-3m, No. 221

Cell lengths 4.2364, 4.2364, 4.2364 Å; angles 90.00, 90.00, 90.00 degrees
Fractional coordinates of all 5 atoms:
1 Cd 0.0000 0.0000 0.0000
2 N 0.0000 0.0000 0.5000
3 N 0.0000 0.5000 0.0000
4 N 0.5000 0.0000 0.0000
5 F 0.5000 0.5000 0.5000